Here is an optimized crystal structure of Li2MgSi from the Alexandria database. Energies are from GGA-PBE.

a b c (Å): 2.9178 2.9178 28.4853
angles (deg): 90.00 90.00 120.00
Closest atoms and distances in Å follow each position.
Space group R-3m (No. 166, hexagonal axes)
Unique sites:
Li (0.0000, 0.0000, 0.2409) [6 per cell]  3 Si 2.70, 6 Li 2.92
Mg (0.0000, 0.0000, 0.0000) [3 per cell]  6 Mg 2.92, 6 Li 3.12
Si (0.0000, 0.0000, 0.5000) [3 per cell]  6 Li 2.70, 6 Si 2.92

Results
**Calculated total energy**: -2.74 eV/atom
**Formation energy (no corrections)**: -25 meV per atom


Here is an optimized crystal structure of Sr from the Alexandria database. Energies are from GGA-PBE.

a b c (Å): 4.0722 4.0722 3.8017
angles (deg): 90.00 90.00 120.00
Closest atoms and distances in Å follow each position.
Space group P6/mmm (No. 191)
Unique sites:
Sr (0.0000, 0.0000, 0.0000) [1 per cell]  8 Sr 3.80-4.07

Results
**Energy above the lowest structure with this stoichiometry**: 0.219 eV per atom
**DFT formation energy**: 0.219 eV per atom
**Calculated total energy**: -1.46 eV/atom


Here is an optimized crystal structure of Tm2CuPd9 from the Alexandria database. Energies are from GGA-PBE.

a b c (Å): 4.0507 4.0507 12.0116
angles (deg): 90.00 90.00 90.00
Closest atoms and distances in Å follow each position.
Space group P4/mmm (No. 123)
Unique sites:
Tm (0.0000, 0.0000, 0.1738) [2 per cell]  12 Pd 2.86-2.91
Cu (0.0000, 0.0000, 0.5000) [1 per cell]  12 Pd 2.75-2.86
Pd (0.0000, 0.5000, 0.0000) [2 per cell]  8 Pd 2.86-2.89, 4 Tm 2.91
Pd (0.0000, 0.5000, 0.3452) [4 per cell]  2 Cu 2.75, 8 Pd 2.75-2.90, 2 Tm 2.89
Pd (0.5000, 0.5000, 0.1721) [2 per cell]  4 Tm 2.86, 8 Pd 2.89-2.90
Pd (0.5000, 0.5000, 0.5000) [1 per cell]  8 Pd 2.75, 4 Cu 2.86

Results
**DFT formation energy**: -0.605 eV per atom
**Calculated total energy**: -5.59 eV/atom


Here is an optimized crystal structure of In3TcP from the Alexandria database. Energies are from GGA-PBE.

a b c (Å): 5.2196 5.2196 5.2196
angles (deg): 90.00 90.00 90.00
Closest atoms and distances in Å follow each position.
Space group Pm-3m (No. 221)
Unique sites:
In (0.0000, 0.0000, 0.5000) [3 per cell]  2 Tc 2.61
Tc (0.0000, 0.0000, 0.0000) [1 per cell]  6 In 2.61
P (0.5000, 0.5000, 0.5000) [1 per cell]  12 In 3.69

Results
**Energy above the lowest structure with this stoichiometry**: 0.000 eV per atom
**DFT formation energy**: 0.770 eV per atom
**Calculated total energy**: -4.03 eV/atom


Here is an optimized crystal structure of Cu3AsH from the Alexandria database. Energies are from GGA-PBE.

a b c (Å): 3.8391 3.8391 3.8391
angles (deg): 90.00 90.00 90.00
Closest atoms and distances in Å follow each position.
Space group Pm-3m (No. 221)
Unique sites:
Cu (0.0000, 0.0000, 0.5000) [3 per cell]  2 H 1.92
As (0.5000, 0.5000, 0.5000) [1 per cell]  12 Cu 2.71
H (0.0000, 0.0000, 0.0000) [1 per cell]  6 Cu 1.92

Results
**Energy above the lowest structure with this stoichiometry**: 0.000 eV per atom
**Calculated total energy**: -3.91 eV/atom


Here is an optimized crystal structure of TbNp2CrN4 from the Alexandria database. Energies are from GGA-PBE.

a b c (Å): 3.3050 11.4275 11.3358
angles (deg): 90.00 90.00 90.00
Closest atoms and distances in Å follow each position.
Space group Cmcm (No. 63)
Unique sites:
Tb (0.0000, 0.1079, 0.2500) [4 per cell]  6 N 2.46-2.58
Np (0.0000, 0.3673, 0.0519) [8 per cell]  6 N 2.27-2.44
Cr (0.0000, 0.1559, 0.7500) [4 per cell]  4 N 1.95-2.04
N (0.0000, 0.0000, 0.0000) [4 per cell]  4 Np 2.32
N (0.0000, 0.2725, 0.6239) [8 per cell]  1 Cr 1.95
N (0.0000, 0.4487, 0.2500) [4 per cell]  2 Cr 2.04

Results
**Calculated total energy**: -10.21 eV/atom
**Formation energy (no corrections)**: -1034 meV per atom